A relaxed CsK2NiAs2 crystal, computed with GGA-PBE.

a = 8.8019 Å, b = 13.2356 Å, c = 7.0379 Å
α = 90.00°, β = 90.00°, γ = 90.00°
Closest atoms and distances in Å follow each position.
Space group Ibam (No. 72)
Inequivalent atoms, fractional coordinates:
Cs  0.0000  0.0000  0.2500  2 Cs 3.52, 4 As 3.65
K  0.1706  0.3107  0.0000  3 As 3.26-3.56, 2 Ni 3.41
Ni  0.0000  0.5000  0.2500  4 As 2.39
As  0.1522  0.4313  0.5000  2 Ni 2.39

Computed properties:
The calculation puts the volume at 820 Å³ per cell. For the formation energy from the elements, the calculation gives -225 meV per atom. The density of states at the Fermi level is 17.110 states/eV/cell. The value obtained for the final energy is -3.25 eV per atom.